(1)
Below is crystalline Tm2SnAu at its relaxed geometry, with properties calculated at the PBE level.

a b c (Å): 3.4936 3.4936 7.8748
angles (deg): 90.00 90.00 90.00
Last column: nearest neighbours and their distance in Å.
Positions (direct):
Tm 0.0000 0.0000 0.2318  4 Au 3.07, 4 Sn 3.25
Tm 0.0000 0.0000 0.7682  4 Au 3.07, 4 Sn 3.25
Sn 0.5000 0.5000 0.5000  8 Tm 3.25, 4 Sn 3.49
Au 0.5000 0.5000 0.0000  8 Tm 3.07



(2)
Below is crystalline TmLuPuTl at its relaxed geometry, with properties calculated at the PBE level.

a b c (Å): 7.6205 7.6205 7.6205
angles (deg): 90.00 90.00 90.00
Last column: nearest neighbours and their distance in Å.
Positions (direct):
Tm 0.0000 0.0000 0.0000  4 Tl 3.30, 4 Lu 3.30
Tm 0.0000 0.5000 0.5000  4 Tl 3.30, 4 Lu 3.30
Tm 0.5000 0.0000 0.5000  4 Tl 3.30, 4 Lu 3.30
Tm 0.5000 0.5000 0.0000  4 Tl 3.30, 4 Lu 3.30
Lu 0.2500 0.2500 0.2500  4 Tm 3.30, 4 Pu 3.30
Lu 0.2500 0.7500 0.7500  4 Tm 3.30, 4 Pu 3.30
Lu 0.7500 0.2500 0.7500  4 Tm 3.30, 4 Pu 3.30
Lu 0.7500 0.7500 0.2500  4 Tm 3.30, 4 Pu 3.30
Pu 0.0000 0.0000 0.5000  4 Lu 3.30, 4 Tl 3.30
Pu 0.0000 0.5000 0.0000  4 Lu 3.30, 4 Tl 3.30
Pu 0.5000 0.0000 0.0000  4 Lu 3.30, 4 Tl 3.30
Pu 0.5000 0.5000 0.5000  4 Lu 3.30, 4 Tl 3.30
Tl 0.2500 0.2500 0.7500  4 Tm 3.30, 4 Pu 3.30
Tl 0.2500 0.7500 0.2500  4 Tm 3.30, 4 Pu 3.30
Tl 0.7500 0.2500 0.2500  4 Tm 3.30, 4 Pu 3.30
Tl 0.7500 0.7500 0.7500  4 Tm 3.30, 4 Pu 3.30



(3)
Below is crystalline LaZr2Au at its relaxed geometry, with properties calculated at the PBE level.

Results
Energy above the most stable polymorph in this dataset, eV/f.u.: 0.66

a b c (Å): 3.3522 5.4207 5.2557
angles (deg): 90.00 90.00 90.00
Last column: nearest neighbours and their distance in Å.
Positions (direct):
La 0.0000 0.0000 0.0000  4 Zr 3.12, 4 Au 3.19, 2 La 3.35
Zr 0.0000 0.5000 0.4987  4 Au 3.11-3.12, 6 Zr 3.19-3.35
Zr 0.5000 0.0000 0.5004  4 La 3.12, 6 Zr 3.19-3.35
Au 0.5000 0.5000 0.9977  4 Zr 3.11-3.12, 4 La 3.19, 2 Au 3.35



Final energy readings, ordered: -0.175; -0.234; -0.237 Ha/atom
Energy of formation from the pure elements readings, ordered: -720; 59; -120 meV per atom